Entry from Alexandria via LeMat-Bulk: an optimized crystal structure of CsGaHgI2 (PBE).

As for the uncorrected formation energy: -0.7442 eV/atom. The total energy comes out at -2.20 eV per atom.

The space group is P4/mmm (No. 123) and the conventional cell measures 6.2909, 6.2909 and 5.4169 Å, with angles of 90.00, 90.00 and 90.00 degrees. The asymmetric unit holds Cs at (0.0000, 0.0000, 0.0000), Ga at (0.5000, 0.5000, 0.5000), Hg at (0.5000, 0.5000, 0.0000) and I at (0.0000, 0.5000, 0.5000).